Entry 1:
Below is a relaxed ErAg2Pd9 crystal, with properties calculated at the PBE level.

a b c (Å): 4.043 4.043 12.052
angles (deg): 90.00 90.00 90.00
Element x y z (fractional)
Er: 0.000 0.000 0.000
Ag: 0.000 0.000 0.337
Ag: 0.000 0.000 0.663
Pd: 0.500 0.500 0.000
Pd: 0.500 0.500 0.336
Pd: 0.500 0.500 0.664
Pd: 0.500 0.000 0.172
Pd: 0.500 0.000 0.500
Pd: 0.500 0.000 0.828
Pd: 0.000 0.500 0.172
Pd: 0.000 0.500 0.500
Pd: 0.000 0.500 0.828

As for the calculated total energy: -0.18558 Ha/atom. As for the crystal system: tetragonal.

---

Entry 2:
Below is a relaxed AlC4NCl2 crystal, with properties calculated at the PBE level.

a b c (Å): 9.439 4.691 8.409
angles (deg): 89.75 90.00 90.00
Last column: magnetic moment on the atom in μB.
Element x y z (fractional)
C: 0.247 0.547 0.048  0.42
C: 0.747 0.453 0.952  0.42
C: 0.747 0.491 0.101  -0.08
C: 0.247 0.509 0.899  -0.08
C: 0.247 0.509 0.606  -0.08
C: 0.747 0.491 0.394  -0.08
C: 0.247 0.548 0.456  0.42
C: 0.747 0.452 0.544  0.42
Cl: 0.438 0.002 0.251  0.05
Cl: 0.938 0.998 0.749  0.05
Cl: 0.557 0.998 0.749  0.05
Cl: 0.057 0.002 0.251  0.05
Al: 0.247 0.750 0.252  -0.01
Al: 0.747 0.250 0.748  -0.01
N: 0.247 0.483 0.752  0.36
N: 0.747 0.517 0.248  0.36

As for the calculated total energy: -0.23047 Ha/atom. As for the crystal system: monoclinic. As for the formation energy (no corrections): 2.5 eV/f.u.

---

Entry 3:
Below is a relaxed Li4U3CdSe8 crystal, with properties calculated at the PBE level.

a b c (Å): 8.046 8.063 8.047
angles (deg): 119.94 120.00 90.00
Last column: magnetic moment on the atom in μB.
Element x y z (fractional)
Li: 0.500 0.000 0.000  0.00
Li: 0.500 0.000 0.500  0.00
Li: 0.000 0.000 0.000  0.00
Li: 0.000 0.000 0.500  0.00
U: 0.500 0.500 0.000  -2.52
U: 0.500 0.500 0.500  -2.52
U: 0.000 0.500 0.500  -2.52
Cd: 0.000 0.500 0.000  -0.01
Se: 0.253 0.758 0.005  0.05
Se: 0.253 0.758 0.506  0.05
Se: 0.247 0.240 0.493  0.06
Se: 0.752 0.758 0.005  0.05
Se: 0.248 0.242 0.995  0.05
Se: 0.753 0.760 0.507  0.06
Se: 0.747 0.242 0.494  0.05
Se: 0.747 0.242 0.995  0.05

As for the calculated total energy: -0.20200 Ha/atom. As for the crystal system: trigonal. As for the formation energy (no corrections): -17.6 eV/f.u.

---

Entry 4:
Below is a relaxed MgSb2P crystal, with properties calculated at the PBE level.

a b c (Å): 5.040 5.040 5.040
angles (deg): 60.00 60.00 60.00
Element x y z (fractional)
Sb: 0.250 0.250 0.250
Sb: 0.750 0.750 0.750
Mg: 0.000 0.000 0.000
P: 0.500 0.500 0.500

The calculation puts the energy above the most stable polymorph in this dataset at 0.340 eV/atom. As for the calculated total energy: -0.12960 Ha/atom. As for the crystal system: cubic. As for the formation energy (no corrections): 1.1 eV/f.u.

---

Entry 5:
Below is a relaxed Ce2NbAl crystal, with properties calculated at the PBE level.

a b c (Å): 3.014 3.014 11.324
angles (deg): 82.35 82.35 60.00
Element x y z (fractional)
Nb: 0.000 0.000 0.000
Al: 0.500 0.500 0.500
Ce: 0.086 0.086 0.743
Ce: 0.914 0.914 0.257

The calculation puts the energy above the most stable polymorph in this dataset at 0.293 eV/atom. As for the calculated total energy: -0.22738 Ha/atom. As for the crystal system: trigonal.

---

Entry 6:
Below is a relaxed NaDyEr4S8 crystal, with properties calculated at the PBE level.

a b c (Å): 8.032 8.032 8.054
angles (deg): 60.09 60.09 60.00
Element x y z (fractional)
Na: 0.375 0.375 0.876
Dy: 0.005 0.005 0.986
Er: 0.625 0.625 0.124
Er: 0.005 0.486 0.504
Er: 0.486 0.005 0.504
Er: 0.005 0.005 0.504
S: 0.240 0.783 0.737
S: 0.783 0.240 0.737
S: 0.240 0.240 0.737
S: 0.239 0.239 0.284
S: 0.757 0.227 0.260
S: 0.227 0.757 0.260
S: 0.757 0.757 0.260
S: 0.758 0.758 0.726

As for the calculated total energy: -0.22216 Ha/atom. As for the crystal system: trigonal. As for the formation energy (no corrections): -27.4 eV/f.u.

---

> Which of these has the lowest calculated total energy?

AlC4NCl2

---

> Among the records above, which one has the highest calculated total energy?

MgSb2P

---

> Which of these has the lowest calculated total energy?

AlC4NCl2

---

> Number 5 is which compound?

Ce2NbAl